Entry from Alexandria: Sr2PmCu after structural relaxation (GGA-PBE).

Structure (CIF):
```
data_Sr2PmCu
_chemical_formula_sum 'Sr6 Pm3 Cu3'
_symmetry_space_group_name_H-M 'R -3 m'
_symmetry_Int_Tables_number 166
_symmetry_space_group_name_Hall '-R 3 2"'
_cell_length_a 3.9191
_cell_length_b 3.9191
_cell_length_c 34.5262
_cell_angle_alpha 90.00
_cell_angle_beta 90.00
_cell_angle_gamma 120.00
loop_
_atom_site_label
_atom_site_type_symbol
_atom_site_fract_x
_atom_site_fract_y
_atom_site_fract_z
Sr1 Sr 0.0000 0.0000 0.1083
Pm1 Pm 0.0000 0.0000 0.0000
Cu1 Cu 0.0000 0.0000 0.5000
```

Summary:
E, eV per atom: -2.73



Entry from Alexandria: SrPmCu10 after structural relaxation (GGA-PBE).

Structure (CIF):
```
data_SrPmCu10
_chemical_formula_sum 'Sr1 Pm1 Cu10'
_symmetry_space_group_name_H-M 'P m m m'
_symmetry_Int_Tables_number 47
_cell_length_a 4.035
_cell_length_b 5.244
_cell_length_c 8.973
_cell_angle_alpha 90.00
_cell_angle_beta 90.00
_cell_angle_gamma 90.00
loop_
_symmetry_equiv_pos_as_xyz
'x,y,z'
'-x,-y,-z'
'-x,-y,z'
'x,y,-z'
'x,-y,-z'
'-x,y,z'
'-x,y,-z'
'x,-y,z'
loop_
_atom_site_label
_atom_site_type_symbol
_atom_site_fract_x
_atom_site_fract_y
_atom_site_fract_z
Sr1 Sr 0.000 0.000 0.000
Pm1 Pm 0.000 0.500 0.500
Cu1 Cu 0.000 0.000 0.338
Cu2 Cu 0.000 0.500 0.171
Cu3 Cu 0.500 0.000 0.500
Cu4 Cu 0.500 0.255 0.257
Cu5 Cu 0.500 0.500 0.000
```

Summary:
E, eV per atom: -4.07



Entry from Alexandria: SrPmCu after structural relaxation (GGA-PBE).

Structure (CIF):
```
data_SrPmCu
_chemical_formula_sum 'Sr16 Pm16 Cu16'
_symmetry_space_group_name_H-M 'F d d 2'
_symmetry_Int_Tables_number 43
_symmetry_space_group_name_Hall 'F 2 -2d'
_cell_length_a 12.445
_cell_length_b 13.826
_cell_length_c 9.202
_cell_angle_alpha 90.00
_cell_angle_beta 90.00
_cell_angle_gamma 90.00
loop_
_atom_site_label
_atom_site_type_symbol
_atom_site_fract_x
_atom_site_fract_y
_atom_site_fract_z
Sr1 Sr 0.099 0.131 0.000
Pm1 Pm 0.021 0.126 0.411
Cu1 Cu 0.064 0.233 0.684
```

Summary:
Relative energy among the computed polymorphs, meV per atom: 45



DOS at the Fermi energy list, top to bottom, in states/eV/f.u.: 4.48; 6.10; 3.03